No. 1
First-principles (GGA-PBE) data for a relaxed structure of Al3Zn, as listed in Alexandria via LeMat-Bulk.

**Total magnetic moment**: 0.0 μB per formula unit
**Density of states at the Fermi level**: 1.796 states/eV per cell
**Calculated formation energy**: 0.039 eV per atom

Cell lengths 4.020, 4.020, 4.020 Å; angles 90.00, 90.00, 90.00 degrees
Element x y z (fractional)
Al (0.000, 0.500, 0.500)
Zn (0.000, 0.000, 0.000)
Al (0.500, 0.500, 0.000)
Al (0.500, 0.000, 0.500)

***

No. 2
First-principles (GGA-PBE) data for a relaxed structure of Al4Zn3, as listed in Alexandria via LeMat-Bulk.

**Energy above the lowest structure with this stoichiometry**: 0.0000 eV per atom
**Total magnetic moment**: 0.0 μB per formula unit
**Density of states at the Fermi level**: 1.497 states/eV per cell
**Calculated formation energy**: 0.060 eV per atom

Cell lengths 3.001, 6.586, 7.213 Å; angles 123.14, 102.00, 90.00 degrees
Element x y z (fractional)
Al (0.368, 0.130, 0.737)
Zn (0.000, 0.000, 0.000)
Zn (0.776, 0.704, 0.552)
Zn (0.224, 0.296, 0.448)
Al (0.918, 0.541, 0.836)
Al (0.082, 0.459, 0.164)
Al (0.632, 0.870, 0.263)

***

No. 3
First-principles (GGA-PBE) data for a relaxed structure of Al13Zn2, as listed in Alexandria via LeMat-Bulk.

**Total magnetic moment**: 0.0 μB per formula unit
**Density of states at the Fermi level**: 7.402 states/eV per cell
**Calculated formation energy**: 0.326 eV per atom

Cell lengths 6.910, 6.910, 6.910 Å; angles 84.25, 84.25, 84.25 degrees
Element x y z (fractional)
Al (0.788, 0.788, 0.313)
Al (0.672, 0.949, 0.949)
Al (0.949, 0.949, 0.672)
Al (0.500, 0.500, 0.500)
Zn (0.313, 0.313, 0.313)
Al (0.212, 0.212, 0.687)
Al (0.949, 0.672, 0.949)
Al (0.313, 0.788, 0.788)
Al (0.051, 0.328, 0.051)
Zn (0.687, 0.687, 0.687)
Al (0.788, 0.313, 0.788)
Al (0.328, 0.051, 0.051)
Al (0.687, 0.212, 0.212)
Al (0.051, 0.051, 0.328)
Al (0.212, 0.687, 0.212)

***

No. 4
First-principles (GGA-PBE) data for a relaxed structure of Al2Zn, as listed in Alexandria via LeMat-Bulk.

**Total magnetic moment**: 0.0 μB per formula unit
**Density of states at the Fermi level**: 0.929 states/eV per cell
**Calculated formation energy**: 0.009 eV per atom

Cell lengths 2.816, 2.816, 7.037 Å; angles 90.00, 90.00, 120.00 degrees
Element x y z (fractional)
Zn (0.000, 0.000, 0.000)
Al (0.333, 0.667, 0.668)
Al (0.667, 0.333, 0.332)

***

No. 5
First-principles (GGA-PBE) data for a relaxed structure of Al2Zn13, as listed in Alexandria via LeMat-Bulk.

**Total magnetic moment**: 0.0 μB per formula unit
**Density of states at the Fermi level**: 5.430 states/eV per cell
**Calculated formation energy**: 0.098 eV per atom

Cell lengths 7.185, 7.185, 7.185 Å; angles 59.75, 59.75, 59.75 degrees
Element x y z (fractional)
Zn (0.983, 0.344, 0.983)
Al (0.766, 0.766, 0.766)
Zn (0.610, 0.243, 0.243)
Al (0.234, 0.234, 0.234)
Zn (0.983, 0.983, 0.344)
Zn (0.390, 0.757, 0.757)
Zn (0.656, 0.017, 0.017)
Zn (0.757, 0.757, 0.390)
Zn (0.344, 0.983, 0.983)
Zn (0.500, 0.500, 0.500)
Zn (0.017, 0.656, 0.017)
Zn (0.243, 0.610, 0.243)
Zn (0.017, 0.017, 0.656)
Zn (0.757, 0.390, 0.757)
Zn (0.243, 0.243, 0.610)

***

No. 6
First-principles (GGA-PBE) data for a relaxed structure of Al4Zn3, as listed in Alexandria via LeMat-Bulk.

**Energy above the lowest structure with this stoichiometry**: 0.0282 eV per atom
**Total magnetic moment**: 0.0 μB per formula unit
**Density of states at the Fermi level**: 2.134 states/eV per cell
**Calculated formation energy**: 0.088 eV per atom

Cell lengths 4.972, 4.972, 5.412 Å; angles 90.00, 90.00, 120.00 degrees
Element x y z (fractional)
Al (0.000, 0.000, 0.738)
Al (0.667, 0.333, 0.500)
Zn (0.000, 0.500, 0.000)
Al (0.000, 0.000, 0.262)
Zn (0.500, 0.000, 0.000)
Zn (0.500, 0.500, 0.000)
Al (0.333, 0.667, 0.500)

***

No. 7
First-principles (GGA-PBE) data for a relaxed structure of AlZn5, as listed in Alexandria via LeMat-Bulk.

**Energy above the lowest structure with this stoichiometry**: 0.0000 eV per atom
**Total magnetic moment**: 0.0 μB per formula unit
**Density of states at the Fermi level**: 1.415 states/eV per cell
**Calculated formation energy**: 0.018 eV per atom

Cell lengths 2.807, 2.807, 11.741 Å; angles 90.00, 90.00, 90.00 degrees
Element x y z (fractional)
Zn (0.500, 0.500, 0.336)
Zn (0.000, 0.000, 0.500)
Zn (0.000, 0.000, 0.170)
Zn (0.500, 0.500, 0.664)
Al (0.500, 0.500, 0.000)
Zn (0.000, 0.000, 0.830)

***

No. 8
First-principles (GGA-PBE) data for a relaxed structure of Al5Zn, as listed in Alexandria via LeMat-Bulk.

**Energy above the lowest structure with this stoichiometry**: 0.0304 eV per atom
**Total magnetic moment**: 0.0 μB per formula unit
**Density of states at the Fermi level**: 1.256 states/eV per cell
**Calculated formation energy**: 0.037 eV per atom

Cell lengths 5.465, 5.465, 6.916 Å; angles 71.65, 71.65, 30.45 degrees
Element x y z (fractional)
Al (0.615, 0.615, 0.274)
Al (0.664, 0.664, 0.668)
Zn (0.278, 0.278, 0.941)
Al (0.334, 0.334, 0.336)
Al (0.944, 0.944, 0.612)
Al (0.998, 0.998, 0.002)